(1)
An optimized crystal structure of W. Source: the Open Quantum Materials Database, functional GGA-PBE.

Calculated values
* raw total energy: -12.482 eV per atom
* magnetic moment: 0.00 μB/f.u.
* calculated volume: 65.9 Å³/cell
* energy of formation: 479 meV/atom

a = 4.039 Å, b = 4.039 Å, c = 4.039 Å
α = 90.00°, β = 90.00°, γ = 90.00°
Space group Fm-3m (No. 225)
Unique sites:
W (0.000, 0.000, 0.000)

=====

(2)
An optimized crystal structure of W. Source: the Open Quantum Materials Database, functional GGA-PBE.

Calculated values
* raw total energy: -12.418 eV per atom
* magnetic moment: 0.01 μB/f.u.
* calculated volume: 49.6 Å³/cell
* energy of formation: 543 meV/atom

a = 4.6921 Å, b = 4.6921 Å, c = 2.6037 Å
α = 90.00°, β = 90.00°, γ = 120.00°
Space group P6/mmm (No. 191)
Unique sites:
W (0.0000, 0.0000, 0.0000)
W (0.3333, 0.6667, 0.5000)

=====

(3)
An optimized crystal structure of W. Source: the Open Quantum Materials Database, functional GGA-PBE.

Calculated values
* raw total energy: -12.852 eV per atom
* magnetic moment: 0.00 μB/f.u.
* calculated volume: 46.2 Å³/cell
* energy of formation: 109 meV/atom

a = 4.3146 Å, b = 4.3146 Å, c = 2.8647 Å
α = 90.00°, β = 90.00°, γ = 120.00°
Space group R-3m (No. 166, hexagonal axes)
Unique sites:
W (0.0000, 0.0000, 0.0000)

=====

(4)
An optimized crystal structure of W. Source: the Open Quantum Materials Database, functional GGA-PBE.

Calculated values
* raw total energy: -12.232 eV per atom
* magnetic moment: 0.00 μB/f.u.
* calculated volume: 135.3 Å³/cell
* energy of formation: 728 meV/atom

a = 4.385 Å, b = 9.971 Å, c = 3.095 Å
α = 90.00°, β = 90.00°, γ = 90.00°
Space group Cmce (No. 64)
Unique sites:
W (0.000, 0.133, 0.001)

=====

(5)
An optimized crystal structure of W. Source: the Open Quantum Materials Database, functional GGA-PBE.

Calculated values
* raw total energy: -12.504 eV per atom
* magnetic moment: 0.01 μB/f.u.
* calculated volume: 403.7 Å³/cell
* energy of formation: 456 meV/atom

a = 7.391 Å, b = 7.391 Å, c = 7.391 Å
α = 90.00°, β = 90.00°, γ = 90.00°
Space group Fd-3m (No. 227, origin choice 2)
Unique sites:
W (0.000, 0.000, 0.000)
W (0.125, 0.125, 0.625)

=====

(6)
An optimized crystal structure of W. Source: the Open Quantum Materials Database, functional GGA-PBE.

Calculated values
* raw total energy: -11.760 eV per atom
* magnetic moment: 0.00 μB/f.u.
* calculated volume: 153.3 Å³/cell
* energy of formation: 1200 meV/atom

a = 4.407 Å, b = 8.345 Å, c = 4.169 Å
α = 90.00°, β = 90.00°, γ = 90.00°
Space group Cmce (No. 64)
Unique sites:
W (0.000, 0.154, 0.059)

=====

(7)
An optimized crystal structure of W. Source: the Open Quantum Materials Database, functional GGA-PBE.

Calculated values
* raw total energy: -12.551 eV per atom
* magnetic moment: 0.00 μB/f.u.
* calculated volume: 49.6 Å³/cell
* energy of formation: 409 meV/atom

a = 3.0073 Å, b = 3.0073 Å, c = 6.3291 Å
α = 90.00°, β = 90.00°, γ = 120.00°
Space group R-3m (No. 166, hexagonal axes)
Unique sites:
W (0.0000, 0.0000, 0.0000)

=====

(8)
An optimized crystal structure of W. Source: the Open Quantum Materials Database, functional GGA-PBE.

Calculated values
* raw total energy: -10.328 eV per atom
* magnetic moment: 0.01 μB/f.u.
* calculated volume: 197.5 Å³/cell
* energy of formation: 2632 meV/atom

a = 5.823 Å, b = 5.823 Å, c = 5.823 Å
α = 90.00°, β = 90.00°, γ = 90.00°
Space group Fd-3m (No. 227, origin choice 2)
Unique sites:
W (0.125, 0.125, 0.125)

=====

calculated volume of number 1 (W)?
65.9 Å³/cell